# Pr2PaH12Rh3

A geometry-optimized Pr2PaH12Rh3 structure (PBE-GGA, Alexandria).

Values from the calculation:
- Electronic total energy: -4.812 eV per atom
- DOS at the Fermi energy: 0.4640 states/eV/atom
- Magnetization: 2.7 μB per cell
- Crystal system: trigonal

Lattice parameters (Å, degrees): 6.193 6.193 6.193 64.53 64.53 64.53
Fractional positions:
Pr1 0.115 0.115 0.115
Pr2 0.885 0.885 0.885
Pa1 0.500 0.500 0.500
H1 0.081 0.637 0.637
H2 0.222 0.222 0.626
H3 0.222 0.626 0.222
H4 0.363 0.363 0.919
H5 0.363 0.919 0.363
H6 0.374 0.778 0.778
H7 0.626 0.222 0.222
H8 0.637 0.081 0.637
H9 0.637 0.637 0.081
H10 0.778 0.374 0.778
H11 0.778 0.778 0.374
H12 0.919 0.363 0.363
Rh1 0.000 0.500 0.500
Rh2 0.500 0.000 0.500
Rh3 0.500 0.500 0.000